# LiGdScPb

LiGdScPb after structural relaxation (PBE, Alexandria).

Lattice parameters (Å, degrees): 5.1777 5.1777 5.1777 60.00 60.00 60.00
Closest atoms and distances in Å follow each position.
Fractional coordinates of all 4 atoms:
1 Li 0.0000 0.0000 0.0000  4 Gd 3.17, 4 Sc 3.17
2 Gd 0.7500 0.7500 0.7500  4 Pb 3.17, 4 Li 3.17
3 Sc 0.2500 0.2500 0.2500  4 Pb 3.17, 4 Li 3.17
4 Pb 0.5000 0.5000 0.5000  4 Gd 3.17, 4 Sc 3.17

Uncorrected energy   -6.766 eV per atom
Calculated formation energy   -0.26 eV/atom
Space-group type   F-43m, No. 216
Size of the total moment   8.09 μB/f.u.